Crystalline PrTlP2S7 at its relaxed geometry, computed with GGA-PBE.

Computed properties:
- Electronic total energy: -220.55 eV per cell
- Total moment: 0.0 Bohr magnetons per cell
- Symmetry: No. 14

abc: 9.8344 12.4754 9.1073
angles: 90.00 90.39 90.00
With the nearest neighbours (Å) after each atom.
Positions (direct):
P 0.7752 0.3988 0.0221  4 S 2.02-2.14
P 0.6879 0.9629 0.1975  4 S 2.03-2.14
P 0.3121 0.4629 0.3025  4 S 2.03-2.14
P 0.2248 0.8988 0.4779  4 S 2.02-2.14
P 0.7752 0.1012 0.5221  4 S 2.02-2.14
P 0.6879 0.5371 0.6975  4 S 2.03-2.14
P 0.3121 0.0371 0.8025  4 S 2.03-2.14
P 0.2248 0.6012 0.9779  4 S 2.02-2.14
Pr 0.3577 0.8576 0.1083  8 S 2.92-3.07
Pr 0.6423 0.3576 0.3917  8 S 2.92-3.07
Pr 0.3577 0.6424 0.6083  8 S 2.92-3.07
Pr 0.6423 0.1424 0.8917  8 S 2.92-3.07
S 0.8379 0.0221 0.0687  1 P 2.03
S 0.5896 0.3344 0.0697  1 P 2.04
S 0.2479 0.4469 0.0788  2 P 2.14
S 0.1270 0.7067 0.1099  1 P 2.03
S 0.6502 0.8068 0.1468  1 P 2.03
S 0.5211 0.0592 0.1794  1 P 2.04
S 0.8680 0.4444 0.2102  1 P 2.02
S 0.1320 0.9444 0.2898  1 P 2.02
S 0.4789 0.5592 0.3206  1 P 2.04
S 0.3498 0.3068 0.3532  1 P 2.03
S 0.8730 0.2067 0.3901  1 P 2.03
S 0.7521 0.9469 0.4212  2 P 2.14
S 0.4104 0.8344 0.4303  1 P 2.04
S 0.1621 0.5221 0.4313  1 P 2.03
S 0.8379 0.4779 0.5687  1 P 2.03
S 0.5896 0.1656 0.5697  1 P 2.04
S 0.2479 0.0531 0.5788  2 P 2.14
S 0.1270 0.7933 0.6099  1 P 2.03
S 0.6502 0.6932 0.6468  1 P 2.03
S 0.5211 0.4408 0.6794  1 P 2.04
S 0.8680 0.0556 0.7102  1 P 2.02
S 0.1320 0.5556 0.7898  1 P 2.02
S 0.4789 0.9408 0.8206  1 P 2.04
S 0.3498 0.1932 0.8532  1 P 2.03
S 0.8730 0.2933 0.8901  1 P 2.03
S 0.7521 0.5531 0.9212  2 P 2.14
S 0.4104 0.6656 0.9303  1 P 2.04
S 0.1621 0.9779 0.9313  1 P 2.03
Tl 0.1029 0.1881 0.1267  8 S 3.22-3.56
Tl 0.8971 0.6881 0.3733  8 S 3.22-3.56
Tl 0.1029 0.3119 0.6267  8 S 3.22-3.56
Tl 0.8971 0.8119 0.8733  8 S 3.22-3.56